{
  "formula": "GaHIrRh2",
  "functional": "PBE-GGA",
  "state": "relaxed",
  "cell": [[3.906, 0.000, 0.000], [0.000, 3.906, 0.000], [0.000, 0.000, 3.935]],
  "species": ["Rh", "Rh", "Ir", "Ga", "H"],
  "fractional_positions": [[0.500, 0.000, 0.000], [0.000, 0.500, 0.000], [0.000, 0.000, 0.500], [0.500, 0.500, 0.500], [0.000, 0.000, 0.000]],
  "volume_a3_per_fu": 60.0,
  "e_tot_ev_per_atom": -6.165,
  "magmom_total_mub_per_fu": 0.0,
  "space_group": "No. 123"
}